Version A
First-principles (GGA-PBE) data for an optimized crystal structure of SrFeOs, as listed in Alexandria.

a b c (Å): 7.3342 4.1526 8.1980
angles (deg): 90.00 90.00 90.00
Positions (direct):
1 Sr 0.0018 0.2500 0.8177
2 Sr 0.4982 0.7500 0.3177
3 Sr 0.9982 0.7500 0.1823
4 Sr 0.5018 0.2500 0.6823
5 Os 0.1516 0.2500 0.4364
6 Os 0.3484 0.7500 0.9364
7 Os 0.8484 0.7500 0.5636
8 Os 0.6516 0.2500 0.0636
9 Fe 0.8416 0.2500 0.4296
10 Fe 0.6584 0.7500 0.9296
11 Fe 0.1584 0.7500 0.5704
12 Fe 0.3416 0.2500 0.0704

## Properties
theoretical density: 8.9 Mg/m³
space group: Pnma (62)
Fermi-level density of states: 0.57 states/eV per atom
crystal system: orthorhombic



Version B
First-principles (GGA-PBE) data for an optimized crystal structure of SrFeOs, as listed in Alexandria.

a b c (Å): 9.1053 4.7640 4.7259
angles (deg): 119.77 89.95 83.82
Site moments in Bohr magnetons follow the coordinates.
Positions (direct):
1 Sr 0.5290 0.3248 0.3788  -0.02
2 Sr 0.9495 0.5199 0.9777  -0.02
3 Os 0.1820 0.2127 0.3238  -0.18
4 Os 0.2943 0.1825 0.8085  -0.17
5 Fe 0.2406 0.6975 0.8160  1.02
6 Fe 0.2403 0.6975 0.3163  1.02

## Properties
theoretical density: 6.3 Mg/m³
space group: P1 (1)
Fermi-level density of states: 0.97 states/eV per atom
crystal system: triclinic



Decreasing stability: version B, version A



Version A
First-principles (GGA-PBE) data for an optimized crystal structure of La3InRu, as listed in Alexandria.

a b c (Å): 8.4479 7.1042 6.1692
angles (deg): 93.51 120.32 71.76
Positions (direct):
1 Ru 0.2424 0.2329 0.1166
2 Ru 0.2458 0.8641 0.3352
3 La 0.9954 0.6719 0.1547
4 La 0.3891 0.1756 0.7159
5 La 0.5812 0.8745 0.3528
6 La 0.0991 0.9215 0.7359
7 La 0.9071 0.2225 0.0990
8 La 0.4928 0.4251 0.2971
9 In 0.5234 0.6419 0.8150
10 In 0.9648 0.4552 0.6368

## Properties
theoretical density: 7.0 Mg/m³
space group: P-1 (2)
Fermi-level density of states: 0.84 states/eV per atom
crystal system: triclinic



Version B
First-principles (GGA-PBE) data for an optimized crystal structure of La3InRu, as listed in Alexandria.

a b c (Å): 5.4800 5.4800 5.4800
angles (deg): 90.00 90.00 90.00
Positions (direct):
1 Ru 0.0000 0.0000 0.0000
2 In 0.5000 0.5000 0.5000
3 La 0.0000 0.5000 0.0000
4 La 0.0000 0.0000 0.5000
5 La 0.5000 0.0000 0.0000

## Properties
theoretical density: 6.4 Mg/m³
space group: Pm-3m (221)
Fermi-level density of states: 1.11 states/eV per atom
crystal system: cubic



Decreasing stability: version A, version B



Version A
First-principles (GGA-PBE) data for an optimized crystal structure of Ba2Be, as listed in Alexandria.

a b c (Å): 8.0401 8.0401 5.7102
angles (deg): 90.00 90.00 138.48
Positions (direct):
1 Ba 0.8729 0.6273 0.7500
2 Ba 0.1271 0.3727 0.2500
3 Ba 0.6273 0.8729 0.7500
4 Ba 0.3727 0.1271 0.2500
5 Be 0.2505 0.2505 0.7500
6 Be 0.7495 0.7495 0.2500

## Properties
theoretical density: 3.9 Mg/m³
space group: Cmcm (63)
Fermi-level density of states: 1.21 states/eV per atom
crystal system: orthorhombic



Version B
First-principles (GGA-PBE) data for an optimized crystal structure of Ba2Be, as listed in Alexandria.

a b c (Å): 5.8325 5.8325 3.6159
angles (deg): 90.00 90.00 120.00
Positions (direct):
1 Be 0.0000 0.0000 0.0000
2 Ba 0.3333 0.6667 0.5000
3 Ba 0.6667 0.3333 0.5000

## Properties
theoretical density: 4.4 Mg/m³
space group: P6/mmm (191)
Fermi-level density of states: 1.66 states/eV per atom
crystal system: hexagonal



Decreasing stability: version A, version B



Version A
First-principles (GGA-PBE) data for an optimized crystal structure of P3C, as listed in Alexandria.

a b c (Å): 2.9111 6.2213 7.8836
angles (deg): 90.00 90.00 90.00
Positions (direct):
1 P 0.5000 0.0000 0.5603
2 P 0.0000 0.5000 0.4397
3 P 0.0000 0.7670 0.2605
4 P 0.0000 0.2330 0.2605
5 P 0.5000 0.2670 0.7395
6 P 0.5000 0.7330 0.7395
7 C 0.0000 0.0000 0.4135
8 C 0.5000 0.5000 0.5865

## Properties
theoretical density: 2.4 Mg/m³
space group: Pmmn (59)
Fermi-level density of states: 0.20 states/eV per atom
crystal system: orthorhombic



Version B
First-principles (GGA-PBE) data for an optimized crystal structure of P3C, as listed in Alexandria.

a b c (Å): 16.5063 16.5063 16.5063
angles (deg): 169.55 169.55 14.81
Positions (direct):
1 P 0.0000 0.5000 0.5000
2 P 0.5000 0.0000 0.5000
3 P 0.7500 0.2500 0.5000
4 P 0.2500 0.7500 0.5000
5 P 0.8743 0.8743 0.0000
6 P 0.1257 0.1257 0.0000
7 C 0.6257 0.6257 0.0000
8 C 0.3743 0.3743 0.0000

## Properties
theoretical density: 2.4 Mg/m³
space group: I4/mmm (139)
Fermi-level density of states: 0.57 states/eV per atom
crystal system: tetragonal



Decreasing stability: version A, version B



Version A
First-principles (GGA-PBE) data for an optimized crystal structure of Zr2SbPb, as listed in Alexandria.

a b c (Å): 3.1549 3.1549 11.1481
angles (deg): 90.00 90.00 90.87
Positions (direct):
1 Pb 0.0000 0.0000 0.4546
2 Sb 0.5000 0.5000 0.8080
3 Zr 0.0000 0.0000 0.0159
4 Zr 0.5000 0.5000 0.2215

## Properties
theoretical density: 7.7 Mg/m³
space group: Cmm2 (35)
Fermi-level density of states: 0.96 states/eV per atom
crystal system: orthorhombic



Version B
First-principles (GGA-PBE) data for an optimized crystal structure of Zr2SbPb, as listed in Alexandria.

a b c (Å): 5.1925 5.1925 5.1925
angles (deg): 60.00 60.00 60.00
Site moments in Bohr magnetons follow the coordinates.
Positions (direct):
1 Pb 0.5000 0.5000 0.5000  -0.03
2 Sb 0.7500 0.7500 0.7500  -0.03
3 Zr 0.0000 0.0000 0.0000  0.52
4 Zr 0.2500 0.2500 0.2500  0.57

## Properties
theoretical density: 8.6 Mg/m³
space group: F-43m (216)
Fermi-level density of states: 1.48 states/eV per atom
crystal system: cubic



Decreasing stability: version A, version B